# Pu2PaTcC4 (PBE, relaxed)
data_Pu2PaTcC4
_cell_length_a 3.4250
_cell_length_b 11.6765
_cell_length_c 11.8804
_cell_angle_alpha 90.00
_cell_angle_beta 90.00
_cell_angle_gamma 90.00
_space_group_name_H-M_alt 'C m c m'
_space_group_IT_number 63
_space_group_name_Hall '-C 2c 2'
loop_
_atom_site_label
_atom_site_type_symbol
_atom_site_fract_x
_atom_site_fract_y
_atom_site_fract_z
Pu1 Pu 0.0000 0.1328 0.0437
Pa1 Pa 0.0000 0.3871 0.2500
Tc1 Tc 0.0000 0.3528 0.7500
C1 C 0.0000 0.0424 0.2500
C2 C 0.0000 0.2317 0.6308
C3 C 0.0000 0.5000 0.0000
# * ΔH_f (0 K): 5.2 kJ/mol of atoms



# PuPa2TcC4 (PBE, relaxed)
data_PuPa2TcC4
_cell_length_a 3.5471
_cell_length_b 11.8265
_cell_length_c 11.9049
_cell_angle_alpha 90.00
_cell_angle_beta 90.00
_cell_angle_gamma 90.00
_space_group_name_H-M_alt 'C m c m'
_space_group_IT_number 63
_space_group_name_Hall '-C 2c 2'
loop_
_atom_site_label
_atom_site_type_symbol
_atom_site_fract_x
_atom_site_fract_y
_atom_site_fract_z
Pu1 Pu 0.0000 0.1156 0.2500
Pa1 Pa 0.0000 0.3676 0.0435
Tc1 Tc 0.0000 0.1449 0.7500
C1 C 0.0000 0.0000 0.0000
C2 C 0.0000 0.2652 0.6295
C3 C 0.0000 0.4405 0.2500
# * ΔH_f (0 K): -6.9 kJ/mol of atoms



# PuPaTe2C (PBE, relaxed)
data_PuPaTe2C
_cell_length_a 4.1951
_cell_length_b 4.1951
_cell_length_c 15.5366
_cell_angle_alpha 90.00
_cell_angle_beta 90.00
_cell_angle_gamma 90.00
_space_group_name_H-M_alt 'P 4/n m m'
_space_group_IT_number 129
loop_
_space_group_symop_operation_xyz
'x,y,z'
'-x,-y,-z'
'-y+1/2,x,z'
'y+1/2,-x,-z'
'-x+1/2,-y+1/2,z'
'x+1/2,y+1/2,-z'
'y,-x+1/2,z'
'-y,x+1/2,-z'
'x+1/2,-y,-z'
'-x+1/2,y,z'
'-y,-x,-z'
'y,x,z'
'-x,y+1/2,-z'
'x,-y+1/2,z'
'y+1/2,x+1/2,-z'
'-y+1/2,-x+1/2,z'
loop_
_atom_site_label
_atom_site_type_symbol
_atom_site_fract_x
_atom_site_fract_y
_atom_site_fract_z
Pu1 Pu 0.2500 0.2500 0.1237
Pa1 Pa 0.2500 0.2500 0.5690
Te1 Te 0.2500 0.2500 0.3180
Te2 Te 0.2500 0.2500 0.9137
C1 C 0.2500 0.7500 0.5000
# * E_form (uncorrected): -731 meV per atom



# PuThPa2C4 (PBE, relaxed)
data_PuThPa2C4
_cell_length_a 7.2493
_cell_length_b 7.3022
_cell_length_c 10.3089
_cell_angle_alpha 90.00
_cell_angle_beta 90.00
_cell_angle_gamma 90.00
_space_group_name_H-M_alt 'I m m a'
_space_group_IT_number 74
_space_group_name_Hall '-I 2b 2'
loop_
_atom_site_label
_atom_site_type_symbol
_atom_site_fract_x
_atom_site_fract_y
_atom_site_fract_z
Pu1 Pu 0.0000 0.0000 0.0000
Th1 Th 0.2500 0.2500 0.2500
Pa1 Pa 0.0000 0.0000 0.5000
Pa2 Pa 0.2500 0.2500 0.7500
C1 C 0.0000 0.0174 0.7414
C2 C 0.2405 0.2500 0.5084
# * ΔH_f (0 K): -25.8 kJ/mol of atoms